# 1
First-principles (PBE-GGA) data for a relaxed structure of AcMg6, as listed in the Alexandria database.

Summary:
Energy above the lowest structure with this stoichiometry   0.0 kJ/mol of formula units

Unit cell a=9.8824 b=6.0546 c=12.4297 alpha=90.00 beta=90.00 gamma=90.00
Space group Pnma (No. 62)
Asymmetric unit:
Ac1 0.2430 0.2500 0.0595 [4 per cell]
Mg1 0.0571 0.7500 0.0899 [4 per cell]
Mg2 0.0648 0.0092 0.3074 [8 per cell]
Mg3 0.0895 0.2500 0.5186 [4 per cell]
Mg4 0.1419 0.7500 0.8529 [4 per cell]
Mg5 0.1906 0.2500 0.7519 [4 per cell]


# 2
First-principles (PBE-GGA) data for a relaxed structure of LaBAu2I, as listed in the Alexandria database.

Summary:
Uncorrected formation energy   0.899 eV/atom

Unit cell a=5.3923 b=5.3923 c=4.4886 alpha=90.00 beta=90.00 gamma=90.00
Space group P4/mmm (No. 123)
Asymmetric unit:
La1 0.0000 0.0000 0.0000 [1 per cell]
B1 0.5000 0.5000 0.0000 [1 per cell]
Au1 0.0000 0.5000 0.5000 [2 per cell]
I1 0.5000 0.5000 0.5000 [1 per cell]


# 3
First-principles (PBE-GGA) data for a relaxed structure of Pm10Dy4Ho, as listed in the Alexandria database.

Unit cell a=12.3074 b=12.3074 c=7.7648 alpha=90.00 beta=90.00 gamma=90.00
Space group I4/m (No. 87)
Asymmetric unit:
Pm1 0.0000 0.5000 0.2500 [4 per cell]
Pm2 0.0995 0.7998 0.2502 [16 per cell]
Dy1 0.1003 0.2995 0.0000 [8 per cell]
Ho1 0.0000 0.0000 0.5000 [2 per cell]


no.,DFT total energy (eV per cell),total magnetization (μB per formula unit)
1,-56.13,0.00
2,-15.22,0.00
3,-119.92,0.00